Record 1
Below is a relaxed TlPdPb2 crystal, with properties calculated at the PBE level.

Unit cell a=3.4648 b=3.4648 c=8.6940 alpha=90.00 beta=90.00 gamma=90.00
With the nearest neighbours (Å) after each atom.
Fractional coordinates of all 4 atoms:
Pb (0.0000, 0.0000, 0.8034)  4 Pd 2.99
Pb (0.0000, 0.0000, 0.1966)  4 Pd 2.99
Tl (0.5000, 0.5000, 0.5000)  4 Tl 3.46, 8 Pb 3.60
Pd (0.5000, 0.5000, 0.0000)  8 Pb 2.99

## Properties
As for the energy: -3.878 eV/atom. The value obtained for the volume is 26.09 Å³ per atom. The energy of formation from the pure elements is -0.134 eV per atom. The symmetry is P4/mmm.


Record 2
Below is a relaxed Mn2BeIn crystal, with properties calculated at the PBE level.

Unit cell a=3.8343 b=3.8346 c=3.8021 alpha=90.00 beta=90.00 gamma=90.00
With the nearest neighbours (Å) after each atom.
Fractional coordinates of all 4 atoms:
Be (0.5000, 0.0000, 0.5000)  8 Mn 2.70, 4 In 2.71
Mn (0.0000, 0.0000, 0.0000)  4 Be 2.70, 4 In 2.70, 4 Mn 2.71
Mn (0.5000, 0.5000, 0.0000)  4 In 2.70, 4 Be 2.70, 4 Mn 2.71
In (0.0000, 0.5000, 0.5000)  8 Mn 2.70, 4 Be 2.71

## Properties
As for the energy: -5.967 eV/atom. The value obtained for the volume is 13.98 Å³ per atom. The energy of formation from the pure elements is 0.234 eV per atom. The symmetry is P4/mmm.


no.,offset from the most stable computed form (meV/atom)
1,0
2,78